# KTlAg2 (PBE, optimized geometry)
data_KTlAg2
_chemical_formula_sum 'K1 Tl1 Ag2'
_cell_length_a 3.5380
_cell_length_b 4.8344
_cell_length_c 6.7101
_cell_angle_alpha 90.00
_cell_angle_beta 104.84
_cell_angle_gamma 90.00
_symmetry_space_group_name_H-M 'P 1 m 1'
_symmetry_Int_Tables_number 6
loop_
_symmetry_equiv_pos_as_xyz
'x,y,z'
'x,-y,z'
loop_
_atom_site_label
_atom_site_type_symbol
_atom_site_fract_x
_atom_site_fract_y
_atom_site_fract_z
K1 K 0.0000 0.0000 0.0000
Tl1 Tl 0.6837 0.5000 0.3576
Ag1 Ag 0.2641 0.0000 0.5147
Ag2 Ag 0.3745 0.5000 0.7439
# Total DFT energy (no corrections) (eV per formula unit): -8.806
# Mass density (g cm⁻³): 6.87

***

# PdPbO3 (PBE, optimized geometry)
data_PdPbO3
_chemical_formula_sum 'Pd4 Pb4 O12'
_cell_length_a 6.9641
_cell_length_b 5.3703
_cell_length_c 7.4173
_cell_angle_alpha 90.00
_cell_angle_beta 99.73
_cell_angle_gamma 90.00
_symmetry_space_group_name_H-M 'P 1 21/c 1'
_symmetry_Int_Tables_number 14
loop_
_symmetry_equiv_pos_as_xyz
'x,y,z'
'-x,-y,-z'
'-x,y+1/2,-z+1/2'
'x,-y+1/2,z+1/2'
loop_
_atom_site_label
_atom_site_type_symbol
_atom_site_fract_x
_atom_site_fract_y
_atom_site_fract_z
Pd1 Pd 0.0759 0.2404 0.4279
Pb1 Pb 0.3799 0.7484 0.8361
O1 O 0.0706 0.0644 0.1733
O2 O 0.1879 0.5854 0.0486
O3 O 0.3490 0.1519 0.9194
# Uncorrected formation energy (eV/atom): -0.652
# Total DFT energy (no corrections) (eV per formula unit): -27.038
# Mass density (g cm⁻³): 8.79

***

# Br5Cl4 (PBE, optimized geometry)
data_Br5Cl4
_chemical_formula_sum 'Br10 Cl8'
_cell_length_a 13.4922
_cell_length_b 13.4922
_cell_length_c 5.0924
_cell_angle_alpha 90.00
_cell_angle_beta 90.00
_cell_angle_gamma 120.00
_symmetry_space_group_name_H-M 'P 63/m c m'
_symmetry_Int_Tables_number 193
_symmetry_space_group_name_Hall '-P 6c 2'
loop_
_atom_site_label
_atom_site_type_symbol
_atom_site_fract_x
_atom_site_fract_y
_atom_site_fract_z
Br1 Br 0.0000 0.2462 0.2500
Br2 Br 0.3333 0.6667 0.0000
Cl1 Cl 0.0000 0.0000 0.0000
Cl2 Cl 0.0000 0.4062 0.2500
# Uncorrected formation energy (eV/atom): 0.114
# Total DFT energy (no corrections) (eV per formula unit): -14.726
# Mass density (g cm⁻³): 2.24

***

# CeCdIn (PBE, optimized geometry)
data_CeCdIn
_chemical_formula_sum 'Ce2 Cd2 In2'
_cell_length_a 3.3628
_cell_length_b 3.3628
_cell_length_c 13.7633
_cell_angle_alpha 90.00
_cell_angle_beta 90.00
_cell_angle_gamma 90.00
_symmetry_space_group_name_H-M 'I 4 m m'
_symmetry_Int_Tables_number 107
_symmetry_space_group_name_Hall 'I 4 -2'
loop_
_atom_site_label
_atom_site_type_symbol
_atom_site_fract_x
_atom_site_fract_y
_atom_site_fract_z
Ce1 Ce 0.0000 0.0000 0.0000
Cd1 Cd 0.0000 0.0000 0.3276
In1 In 0.0000 0.0000 0.6741
# Total DFT energy (no corrections) (eV per formula unit): -10.166
# Mass density (g cm⁻³): 7.84

***

Question: What is the mass density in the fourth record?
Answer: 7.84 g cm⁻³